# 1
The following is a PBE calculation of crystalline Na3Ac2LaO6 at its relaxed geometry, from Alexandria.

The space group is C2/m (No. 12) and the conventional cell measures 15.221, 3.773 and 6.659 Å, with angles of 90.00, 90.15 and 90.00 degrees. The distinct sites, in fractional coordinates, are Na at (0.000, 0.000, 0.000), Na at (0.128, 0.500, 0.780), Ac at (0.192, 0.500, 0.248), La at (0.000, 0.000, 0.500), O at (0.021, 0.500, 0.272), O at (0.163, 0.000, 0.513) and O at (0.168, 0.000, 0.001).

As for the uncorrected formation energy: -2570 meV/atom. The total energy comes out at -155.38 eV per cell. The calculation puts the spin magnetization at 0.00 μB per formula unit. The calculation puts the density of states at the Fermi level at 0.00 states/eV/atom.



# 2
The following is a PBE calculation of crystalline Na3Ac2LaS6 at its relaxed geometry, from Alexandria.

The space group is C2/m (No. 12) and the conventional cell measures 18.306, 4.325 and 8.344 Å, with angles of 90.00, 100.17 and 90.00 degrees. The distinct sites, in fractional coordinates, are Na at (0.000, 0.000, 0.000), Na at (0.164, 0.500, 0.332), Ac at (0.166, 0.500, 0.830), La at (0.000, 0.000, 0.500), S at (0.002, 0.500, 0.736), S at (0.161, 0.000, 0.583) and S at (0.168, 0.000, 0.077).

As for the uncorrected formation energy: -1826 meV/atom. The total energy comes out at -127.56 eV per cell. The calculation puts the spin magnetization at 0.00 μB per formula unit. The calculation puts the density of states at the Fermi level at 0.00 states/eV/atom.



# 3
The following is a PBE calculation of crystalline NaAcLaSb at its relaxed geometry, from Alexandria.

The space group is F-43m (No. 216) and the conventional cell measures 8.051, 8.051 and 8.051 Å, with angles of 90.00, 90.00 and 90.00 degrees. The distinct sites, in fractional coordinates, are Na at (0.000, 0.000, 0.000), Ac at (0.250, 0.250, 0.250), La at (0.250, 0.250, 0.750) and Sb at (0.000, 0.000, 0.500).

As for the uncorrected formation energy: -385 meV/atom. The total energy comes out at -64.07 eV per cell. The calculation puts the spin magnetization at 0.06 μB per formula unit. The calculation puts the density of states at the Fermi level at 1.28 states/eV/atom.



# 4
The following is a PBE calculation of crystalline Na2AcLaSe4 at its relaxed geometry, from Alexandria.

The space group is P2/m (No. 10) and the conventional cell measures 7.441, 4.453 and 7.717 Å, with angles of 90.00, 110.24 and 90.00 degrees. The distinct sites, in fractional coordinates, are Na at (0.000, 0.000, 0.000), Na at (0.000, 0.500, 0.500), Ac at (0.500, 0.000, 0.500), La at (0.500, 0.500, 0.000), Se at (0.257, 0.500, 0.245) and Se at (0.261, 0.000, 0.760).

As for the uncorrected formation energy: -1739 meV/atom. The total energy comes out at -39.52 eV per cell. The calculation puts the spin magnetization at 0.00 μB per formula unit. The calculation puts the density of states at the Fermi level at 0.00 states/eV/atom.